Entry 1:
DFT (GGA-PBE) results for a relaxed structure of CaTc2Br.

a b c (Å): 3.006 3.006 9.195
angles (deg): 90.00 90.00 114.47
Atoms (fractional coordinates):
Ca: 0.500 0.500 0.750
Tc: 0.000 0.000 0.479
Br: 0.500 0.500 0.250
Tc: 0.000 0.000 0.021

Computed properties:
- ΔE to the lowest computed polymorph (eV/atom) = 1.116


Entry 2:
DFT (GGA-PBE) results for a relaxed structure of LiPm2Mg5.

a b c (Å): 4.944 4.944 9.068
angles (deg): 105.82 105.82 90.00
Atoms (fractional coordinates):
Pm: 0.254 0.254 0.509
Mg: 0.392 0.892 0.784
Mg: 0.608 0.108 0.216
Mg: 0.108 0.608 0.216
Mg: 0.892 0.392 0.784
Pm: 0.746 0.746 0.491
Mg: 0.500 0.500 0.000
Li: 0.000 0.000 0.000

Computed properties:
- DFT formation energy (meV per atom) = -48


Entry 3:
DFT (GGA-PBE) results for a relaxed structure of Li3HfZn.

a b c (Å): 5.330 5.330 5.330
angles (deg): 90.00 90.00 90.00
Site moments in Bohr magnetons follow the coordinates.
Atoms (fractional coordinates):
Li: 0.000 0.000 0.500  0.04
Li: 0.500 0.000 0.000  0.06
Hf: 0.000 0.000 0.000  1.50
Zn: 0.500 0.500 0.500  0.00
Li: 0.000 0.500 0.000  0.04

Computed properties:
- DFT formation energy (meV per atom) = 1360
- ΔE to the lowest computed polymorph (eV/atom) = 0.798


Entry 4:
DFT (GGA-PBE) results for a relaxed structure of AgHg2PtW.

a b c (Å): 5.017 5.110 5.017
angles (deg): 90.00 90.00 90.00
Site moments in Bohr magnetons follow the coordinates.
Atoms (fractional coordinates):
Hg: 0.500 0.000 0.000  -0.04
W: 0.000 0.500 0.000  2.26
Pt: 0.500 0.500 0.500  -0.12
Ag: 0.000 0.000 0.000  0.06
Hg: 0.000 0.000 0.500  -0.04

Computed properties:
- DFT formation energy (meV per atom) = 1762


Entry 5:
DFT (GGA-PBE) results for a relaxed structure of Zn3IO.

a b c (Å): 4.585 4.585 4.585
angles (deg): 90.00 90.00 90.00
Atoms (fractional coordinates):
O: 0.000 0.000 0.000
Zn: 0.500 0.000 0.000
I: 0.500 0.500 0.500
Zn: 0.000 0.500 0.000
Zn: 0.000 0.000 0.500

Computed properties:
- ΔE to the lowest computed polymorph (eV/atom) = 0.000


Entry 6:
DFT (GGA-PBE) results for a relaxed structure of Dy2Tm12Th5.

a b c (Å): 10.259 9.151 7.772
angles (deg): 89.08 90.00 124.10
Atoms (fractional coordinates):
Tm: 0.956 0.388 0.202
Tm: 0.044 0.612 0.798
Th: 0.000 0.000 0.500
Tm: 0.551 0.102 0.295
Th: 0.346 0.692 0.083
Tm: 0.833 0.217 0.608
Tm: 0.167 0.783 0.392
Tm: 0.860 0.720 0.110
Tm: 0.140 0.280 0.890
Th: 0.240 0.480 0.510
Tm: 0.449 0.898 0.705
Tm: 0.384 0.217 0.608
Dy: 0.741 0.000 0.000
Th: 0.760 0.520 0.490
Dy: 0.259 0.000 0.000
Tm: 0.432 0.388 0.202
Th: 0.654 0.308 0.917
Tm: 0.616 0.783 0.392
Tm: 0.568 0.612 0.798

Computed properties:
- DFT formation energy (meV per atom) = 152
- ΔE to the lowest computed polymorph (eV/atom) = 0.000